Entry from Alexandria: a relaxed structure of PaPdSe4 (PBE).

Structure (CIF):
```
data_PaPdSe4
_chemical_formula_sum 'Pa2 Pd2 Se8'
_space_group_name_H-M_alt 'P 1'
_space_group_IT_number 1
_space_group_name_Hall 'P 1'
_cell_length_a 6.7852
_cell_length_b 6.7003
_cell_length_c 6.5285
_cell_angle_alpha 90.00
_cell_angle_beta 98.99
_cell_angle_gamma 90.00
loop_
_atom_site_label
_atom_site_type_symbol
_atom_site_fract_x
_atom_site_fract_y
_atom_site_fract_z
Pa1 Pa 0.0000 0.0000 0.0000
Pa2 Pa 0.0000 0.5000 0.5000
Pd1 Pd 0.5000 0.0000 0.5000
Pd2 Pd 0.5000 0.5000 0.0000
Se1 Se 0.1931 0.1787 0.3659
Se2 Se 0.1931 0.3213 0.8659
Se3 Se 0.3006 0.7246 0.2651
Se4 Se 0.3006 0.7754 0.7651
Se5 Se 0.6994 0.2246 0.2349
Se6 Se 0.6994 0.2754 0.7349
Se7 Se 0.8069 0.6787 0.1341
Se8 Se 0.8069 0.8213 0.6341
```

Values from the calculation:
Fermi-level density of states in states/eV per cell: 5.18
Total energy in eV/cell: -66.135
ΔE_f (raw) in eV per atom: -0.7401

Entry from Alexandria: a relaxed structure of Pa2PdSe6 (PBE).

Structure (CIF):
```
data_Pa2PdSe6
_chemical_formula_sum 'Pa4 Pd2 Se12'
_space_group_name_H-M_alt 'P 1'
_space_group_IT_number 1
_space_group_name_Hall 'P 1'
_cell_length_a 6.7135
_cell_length_b 6.7135
_cell_length_c 11.5604
_cell_angle_alpha 90.00
_cell_angle_beta 90.00
_cell_angle_gamma 90.00
loop_
_atom_site_label
_atom_site_type_symbol
_atom_site_fract_x
_atom_site_fract_y
_atom_site_fract_z
Pa1 Pa 0.0000 0.0000 0.1748
Pa2 Pa 0.0000 0.0000 0.8252
Pa3 Pa 0.5000 0.5000 0.3252
Pa4 Pa 0.5000 0.5000 0.6748
Pd1 Pd 0.0000 0.0000 0.5000
Pd2 Pd 0.5000 0.5000 0.0000
Se1 Se 0.1909 0.1909 0.0000
Se2 Se 0.1963 0.1963 0.3487
Se3 Se 0.1963 0.1963 0.6513
Se4 Se 0.3037 0.6963 0.1513
Se5 Se 0.3037 0.6963 0.8487
Se6 Se 0.3091 0.6909 0.5000
Se7 Se 0.6909 0.3091 0.5000
Se8 Se 0.6963 0.3037 0.1513
Se9 Se 0.6963 0.3037 0.8487
Se10 Se 0.8037 0.8037 0.3487
Se11 Se 0.8037 0.8037 0.6513
Se12 Se 0.8091 0.8091 0.0000
```

Values from the calculation:
Fermi-level density of states in states/eV per cell: 3.65
E above lowest polymorph in meV/atom: 127.9
Total energy in eV/cell: -107.266
ΔE_f (raw) in eV per atom: -0.9490